DFT (GGA-PBE) results for a relaxed ScCrRu2 crystal.

Lattice parameters (Å, degrees): 3.069 4.629 4.178 90.00 90.00 90.00
Site moments in Bohr magnetons follow the coordinates.
Atoms (fractional coordinates):
Cr 0.000 0.500 0.500  1.32
Ru 0.000 0.000 0.000  -0.07
Sc 0.500 0.000 0.500  -0.03
Ru 0.500 0.500 0.000  -0.24

Results
For the size of the total moment, the calculation gives 0.26 μB per atom. The value obtained for the energy is -8.601 eV per atom. As for the space group: No. 47. The volume is 14.838 Å³/atom.